Entry 1:
Computed, not measured: a relaxed structure of La2Au3 at the PBE-GGA level of DFT.

Structure (CIF):
```
data_La2Au3
_chemical_formula_sum 'La8 Au12'
_symmetry_space_group_name_H-M 'C m c m'
_symmetry_Int_Tables_number 63
_symmetry_space_group_name_Hall '-C 2c 2'
_cell_length_a 3.8507
_cell_length_b 28.8468
_cell_length_c 4.7287
_cell_angle_alpha 90.00
_cell_angle_beta 90.00
_cell_angle_gamma 90.00
loop_
_atom_site_label
_atom_site_fract_x
_atom_site_fract_y
_atom_site_fract_z
_atom_site_occupancy
La1 0.0000 0.0709 0.2500 1
La2 0.0000 0.2030 0.7500 1
Au1 0.0000 0.3184 0.7500 1
Au2 0.0000 0.3806 0.2500 1
Au3 0.0000 0.4759 0.2500 1
```

## Properties
- Spin magnetization: 0.000 μB/f.u.
- Energy relative to the elements: -812 meV per atom
- Raw total energy: -4.75 eV/atom
- E above lowest polymorph: 0.000 eV per atom



Entry 2:
Computed, not measured: a relaxed structure of La4Au at the PBE-GGA level of DFT.

Structure (CIF):
```
data_La4Au
_chemical_formula_sum 'La12 Au3'
_symmetry_space_group_name_H-M 'R -3 m'
_symmetry_Int_Tables_number 166
_symmetry_space_group_name_Hall '-R 3 2"'
_cell_length_a 3.8228
_cell_length_b 3.8228
_cell_length_c 40.5231
_cell_angle_alpha 90.00
_cell_angle_beta 90.00
_cell_angle_gamma 120.00
loop_
_atom_site_label
_atom_site_fract_x
_atom_site_fract_y
_atom_site_fract_z
_atom_site_occupancy
La1 0.0000 0.0000 0.1122 1
La2 0.0000 0.0000 0.2955 1
Au1 0.0000 0.0000 0.5000 1
```

## Properties
- Spin magnetization: 0.000 μB/f.u.
- Energy relative to the elements: -228 meV per atom
- Raw total energy: -4.83 eV/atom
- E above lowest polymorph: 0.082 eV per atom



Entry 3:
Computed, not measured: a relaxed structure of LaAu12 at the PBE-GGA level of DFT.

Structure (CIF):
```
data_LaAu12
_chemical_formula_sum 'La2 Au24'
_symmetry_space_group_name_H-M 'I 4/m m m'
_symmetry_Int_Tables_number 139
_symmetry_space_group_name_Hall '-I 4 2'
_cell_length_a 9.4889
_cell_length_b 9.4889
_cell_length_c 5.7592
_cell_angle_alpha 90.00
_cell_angle_beta 90.00
_cell_angle_gamma 90.00
loop_
_atom_site_label
_atom_site_fract_x
_atom_site_fract_y
_atom_site_fract_z
_atom_site_occupancy
La1 0.0000 0.0000 0.0000 1
Au1 0.0000 0.2159 0.5000 1
Au2 0.0000 0.3456 0.0000 1
Au3 0.2500 0.2500 0.2500 1
```

## Properties
- Spin magnetization: 0.000 μB/f.u.
- Energy relative to the elements: -211 meV per atom
- Raw total energy: -3.61 eV/atom
- E above lowest polymorph: 0.000 eV per atom



Entry 4:
Computed, not measured: a relaxed structure of LaAu2 at the PBE-GGA level of DFT.

Structure (CIF):
```
data_LaAu2
_chemical_formula_sum 'La4 Au8'
_symmetry_space_group_name_H-M 'I m m a'
_symmetry_Int_Tables_number 74
_symmetry_space_group_name_Hall '-I 2b 2'
_cell_length_a 4.8627
_cell_length_b 7.3266
_cell_length_c 8.2395
_cell_angle_alpha 90.00
_cell_angle_beta 90.00
_cell_angle_gamma 90.00
loop_
_atom_site_label
_atom_site_fract_x
_atom_site_fract_y
_atom_site_fract_z
_atom_site_occupancy
La1 0.0000 0.2500 0.0139 1
Au1 0.0000 0.0158 0.6680 1
```

## Properties
- Spin magnetization: 0.000 μB/f.u.
- Energy relative to the elements: -810 meV per atom
- Raw total energy: -4.64 eV/atom



Entry 5:
Computed, not measured: a relaxed structure of La5Au at the PBE-GGA level of DFT.

Structure (CIF):
```
data_La5Au
_chemical_formula_sum 'La5 Au1'
_symmetry_space_group_name_H-M 'P 4/m m m'
_symmetry_Int_Tables_number 123
_symmetry_space_group_name_Hall '-P 4 2'
_cell_length_a 3.7966
_cell_length_b 3.7966
_cell_length_c 13.8903
_cell_angle_alpha 90.00
_cell_angle_beta 90.00
_cell_angle_gamma 90.00
loop_
_atom_site_label
_atom_site_fract_x
_atom_site_fract_y
_atom_site_fract_z
_atom_site_occupancy
La1 0.0000 0.0000 0.0000 1
La2 0.0000 0.0000 0.3683 1
La3 0.5000 0.5000 0.1844 1
Au1 0.5000 0.5000 0.5000 1
```

## Properties
- Spin magnetization: 0.004 μB/f.u.
- Energy relative to the elements: -251 meV per atom
- Raw total energy: -4.90 eV/atom
- E above lowest polymorph: 0.000 eV per atom



Entry 6:
Computed, not measured: a relaxed structure of LaAu3 at the PBE-GGA level of DFT.

Structure (CIF):
```
data_LaAu3
_chemical_formula_sum 'La2 Au6'
_symmetry_space_group_name_H-M 'P m -3 n'
_symmetry_Int_Tables_number 223
_symmetry_space_group_name_Hall '-P 4n 2 3'
_cell_length_a 5.6592
_cell_length_b 5.6592
_cell_length_c 5.6592
_cell_angle_alpha 90.00
_cell_angle_beta 90.00
_cell_angle_gamma 90.00
loop_
_atom_site_label
_atom_site_fract_x
_atom_site_fract_y
_atom_site_fract_z
_atom_site_occupancy
La1 0.0000 0.0000 0.0000 1
Au1 0.0000 0.2500 0.5000 1
```

## Properties
- Spin magnetization: 0.000 μB/f.u.
- Energy relative to the elements: -664 meV per atom
- Raw total energy: -4.35 eV/atom